[1]
Pr2Ga3Cu12Ni: relaxed, GGA-PBE.

The formation energy is 8.7 kJ/mol of atoms. For the total DFT energy (no corrections), the calculation gives -3.998 eV/atom. Its density is 7.30 g cm⁻³.

The structure belongs to space group R-3m (No. 166, hexagonal axes); the cell edges are 6.2315, 6.2315 and 26.6437 Å and the angles 90.00°, 90.00° and 120.00°. The inequivalent atoms are Pr at (0.0000, 0.0000, 0.1536), Ga at (0.0000, 0.5000, 0.0000), Cu at (0.0579, 0.5289, 0.0963), Cu at (0.0746, 0.5373, 0.6166) and Ni at (0.0000, 0.0000, 0.5000).

***

[2]
Pr2GaCu12Ni3: relaxed, GGA-PBE.

The formation energy is 37.4 kJ/mol of atoms. For the total DFT energy (no corrections), the calculation gives -4.006 eV/atom. Its density is 6.59 g cm⁻³.

The structure belongs to space group R-3m (No. 166, hexagonal axes); the cell edges are 8.1071, 8.1071 and 17.1459 Å and the angles 90.00°, 90.00° and 120.00°. The inequivalent atoms are Pr at (0.0000, 0.0000, 0.1053), Ga at (0.0000, 0.0000, 0.5000), Cu at (0.0091, 0.5046, 0.1377), Cu at (0.1092, 0.5546, 0.4020) and Ni at (0.0000, 0.5000, 0.0000).

***

Question: The highest total DFT energy (no corrections) belongs to which entry?
Answer: Pr2Ga3Cu12Ni

***

What did the second record say?
Pr2GaCu12Ni3: relaxed, GGA-PBE.

The formation energy is 37.4 kJ/mol of atoms. For the total DFT energy (no corrections), the calculation gives -4.006 eV/atom. Its density is 6.59 g cm⁻³.

The structure belongs to space group R-3m (No. 166, hexagonal axes); the cell edges are 8.1071, 8.1071 and 17.1459 Å and the angles 90.00°, 90.00° and 120.00°. The inequivalent atoms are Pr at (0.0000, 0.0000, 0.1053), Ga at (0.0000, 0.0000, 0.5000), Cu at (0.0091, 0.5046, 0.1377), Cu at (0.1092, 0.5546, 0.4020) and Ni at (0.0000, 0.5000, 0.0000).